Record 1
YCu2SbP: relaxed, GGA-PBE.

The structure belongs to space group P4/mmm (No. 123); the cell edges are 4.989, 4.989 and 5.839 Å and the angles 90.00°, 90.00° and 90.00°. The inequivalent atoms are Y at (0.000, 0.000, 0.000), Cu at (0.000, 0.500, 0.000), Sb at (0.000, 0.000, 0.500) and P at (0.500, 0.500, 0.500).

Its uncorrected energy is -3.537 eV/atom. The value obtained for the density is 4.21 Mg/m³.

***

Record 2
ScCu2P: relaxed, GGA-PBE.

The structure belongs to space group Cmm2 (No. 35); the cell edges are 4.274, 4.873 and 5.846 Å and the angles 90.00°, 90.00° and 90.00°. The inequivalent atoms are Sc at (0.000, 0.000, 0.000), Cu at (0.000, 0.000, 0.513), Cu at (0.000, 0.500, 0.318) and P at (0.000, 0.500, 0.740).

The energy of formation is -0.23 eV per atom. The value obtained for the density is 5.54 Mg/m³.

***

Record 3
ScCuP: relaxed, GGA-PBE.

The structure belongs to space group P-62m (No. 189); the cell edges are 6.9612, 6.9612 and 3.8851 Å and the angles 90.00°, 90.00° and 120.00°. The inequivalent atoms are Sc at (0.0000, 0.0000, 0.0000), Sc at (0.3333, 0.6667, 0.5000), Cu at (0.0000, 0.2332, 0.5000) and P at (0.0000, 0.4028, 0.0000).

The energy of formation is -0.51 eV per atom. The value obtained for the density is 4.26 Mg/m³.

***

Record 4
ScCu2P: relaxed, GGA-PBE.

The structure belongs to space group P2/m (No. 10); the cell edges are 3.369, 4.029 and 4.726 Å and the angles 90.00°, 100.64° and 90.00°. The inequivalent atoms are Sc at (0.000, 0.000, 0.000), Cu at (0.435, 0.500, 0.743) and P at (0.500, 0.000, 0.500).

The energy of formation is -0.40 eV per atom. The value obtained for the density is 5.35 Mg/m³.